# TaZnHg2, optimized geometry, DFT PBE-GGA
# Calculated formation energy   365 meV/atom
# DFT total energy   -3.067 eV per atom
# Total magnetic moment   0.00 Bohr magnetons per cell
# Crystal system   orthorhombic
data_TaZnHg2
_space_group_name_H-M_alt 'C m m m'
_space_group_IT_number 65
_space_group_name_Hall '-C 2 2'
_cell_length_a 3.509
_cell_length_b 4.786
_cell_length_c 9.198
_cell_angle_alpha 90.00
_cell_angle_beta 90.00
_cell_angle_gamma 90.00
loop_
_atom_site_label
_atom_site_fract_x
_atom_site_fract_y
_atom_site_fract_z
Ta1 0.000 0.000 0.000
Zn1 0.000 0.000 0.500
Hg1 0.000 0.500 0.258

---

# SrLaCo2Bi, optimized geometry, DFT PBE-GGA
# Calculated formation energy   1284 meV/atom
# DFT total energy   -3.656 eV per atom
# Total magnetic moment   2.23 Bohr magnetons per cell
# Crystal system   tetragonal
data_SrLaCo2Bi
_space_group_name_H-M_alt 'P 4/m m m'
_space_group_IT_number 123
_space_group_name_Hall '-P 4 2'
_cell_length_a 4.850
_cell_length_b 4.850
_cell_length_c 6.084
_cell_angle_alpha 90.00
_cell_angle_beta 90.00
_cell_angle_gamma 90.00
loop_
_atom_site_label
_atom_site_fract_x
_atom_site_fract_y
_atom_site_fract_z
Sr1 0.000 0.000 0.000
La1 0.000 0.000 0.500
Co1 0.000 0.500 0.000
Bi1 0.500 0.500 0.500

---

# BaHf2HgI, optimized geometry, DFT PBE-GGA
# DFT total energy   -3.942 eV per atom
# Total magnetic moment   0.00 Bohr magnetons per cell
# Crystal system   tetragonal
# ΔE_f (raw)   0.794 eV/atom
data_BaHf2HgI
_space_group_name_H-M_alt 'P 4/m m m'
_space_group_IT_number 123
_space_group_name_Hall '-P 4 2'
_cell_length_a 5.353
_cell_length_b 5.353
_cell_length_c 6.322
_cell_angle_alpha 90.00
_cell_angle_beta 90.00
_cell_angle_gamma 90.00
loop_
_atom_site_label
_atom_site_fract_x
_atom_site_fract_y
_atom_site_fract_z
Ba1 0.000 0.000 0.000
Hf1 0.000 0.500 0.500
Hg1 0.500 0.500 0.000
I1 0.500 0.500 0.500

---

# YCoAsSe2, optimized geometry, DFT PBE-GGA
# DFT total energy   -5.490 eV per atom
# E above lowest polymorph   0 meV per atom
# Total magnetic moment   0.00 Bohr magnetons per cell
# Crystal system   tetragonal
# ΔE_f (raw)   -0.453 eV/atom
data_YCoAsSe2
_space_group_name_H-M_alt 'P 4/m m m'
_space_group_IT_number 123
_space_group_name_Hall '-P 4 2'
_cell_length_a 4.946
_cell_length_b 4.946
_cell_length_c 4.311
_cell_angle_alpha 90.00
_cell_angle_beta 90.00
_cell_angle_gamma 90.00
loop_
_atom_site_label
_atom_site_fract_x
_atom_site_fract_y
_atom_site_fract_z
Y1 0.000 0.000 0.000
Co1 0.500 0.500 0.500
As1 0.500 0.500 0.000
Se1 0.000 0.500 0.500

---

# TcOsO2, optimized geometry, DFT PBE-GGA
# DFT total energy   -7.737 eV per atom
# E above lowest polymorph   769 meV per atom
# Total magnetic moment   0.00 Bohr magnetons per cell
# Crystal system   tetragonal
# ΔE_f (raw)   0.141 eV/atom
data_TcOsO2
_space_group_name_H-M_alt 'I -4 2 d'
_space_group_IT_number 122
_space_group_name_Hall 'I -4 2bw'
_cell_length_a 4.744
_cell_length_b 4.744
_cell_length_c 8.982
_cell_angle_alpha 90.00
_cell_angle_beta 90.00
_cell_angle_gamma 90.00
loop_
_atom_site_label
_atom_site_fract_x
_atom_site_fract_y
_atom_site_fract_z
Tc1 0.000 0.000 0.000
Os1 0.000 0.000 0.500
O1 0.245 0.250 0.125

---

# LaScRu2, optimized geometry, DFT PBE-GGA
# Calculated formation energy   117 meV/atom
# DFT total energy   -7.336 eV per atom
# Total magnetic moment   0.66 Bohr magnetons per cell
# Crystal system   cubic
data_LaScRu2
_space_group_name_H-M_alt 'F -4 3 m'
_space_group_IT_number 216
_space_group_name_Hall 'F -4 2 3'
_cell_length_a 6.689
_cell_length_b 6.689
_cell_length_c 6.689
_cell_angle_alpha 90.00
_cell_angle_beta 90.00
_cell_angle_gamma 90.00
loop_
_atom_site_label
_atom_site_fract_x
_atom_site_fract_y
_atom_site_fract_z
La1 0.000 0.000 0.000
Sc1 0.250 0.250 0.250
Ru1 0.000 0.000 0.500
Ru2 0.250 0.250 0.750

---

# Sc2TiBeW, optimized geometry, DFT PBE-GGA
# Calculated formation energy   1350 meV/atom
# DFT total energy   -6.097 eV per atom
# Total magnetic moment   0.48 Bohr magnetons per cell
# Crystal system   tetragonal
data_Sc2TiBeW
_space_group_name_H-M_alt 'P 4/m m m'
_space_group_IT_number 123
_space_group_name_Hall '-P 4 2'
_cell_length_a 4.950
_cell_length_b 4.950
_cell_length_c 4.523
_cell_angle_alpha 90.00
_cell_angle_beta 90.00
_cell_angle_gamma 90.00
loop_
_atom_site_label
_atom_site_fract_x
_atom_site_fract_y
_atom_site_fract_z
Sc1 0.000 0.500 0.000
Ti1 0.000 0.000 0.000
Be1 0.500 0.500 0.500
W1 0.000 0.000 0.500

---

# MgReTc2, optimized geometry, DFT PBE-GGA
# Calculated formation energy   138 meV/atom
# DFT total energy   -8.556 eV per atom
# Total magnetic moment   0.00 Bohr magnetons per cell
# Crystal system   orthorhombic
data_MgReTc2
_space_group_name_H-M_alt 'I m m 2'
_space_group_IT_number 44
_cell_length_a 3.100
_cell_length_b 4.391
_cell_length_c 8.854
_cell_angle_alpha 90.00
_cell_angle_beta 90.00
_cell_angle_gamma 90.00
loop_
_space_group_symop_operation_xyz
'x,y,z'
'-x,-y,z'
'-x,y,z'
'x,-y,z'
'x+1/2,y+1/2,z+1/2'
'-x+1/2,-y+1/2,z+1/2'
'-x+1/2,y+1/2,z+1/2'
'x+1/2,-y+1/2,z+1/2'
loop_
_atom_site_label
_atom_site_fract_x
_atom_site_fract_y
_atom_site_fract_z
Mg1 0.000 0.000 0.000
Re1 0.000 0.500 0.762
Tc1 0.000 0.000 0.498
Tc2 0.000 0.500 0.240

---

# TaW, optimized geometry, DFT PBE-GGA
# Calculated formation energy   559 meV/atom
# DFT total energy   -11.844 eV per atom
# Total magnetic moment   0.00 Bohr magnetons per cell
# Crystal system   hexagonal
data_TaW
_space_group_name_H-M_alt 'P 63/m m c'
_space_group_IT_number 194
_space_group_name_Hall '-P 6c 2c'
_cell_length_a 4.6273
_cell_length_b 4.6273
_cell_length_c 7.9710
_cell_angle_alpha 90.00
_cell_angle_beta 90.00
_cell_angle_gamma 120.00
loop_
_atom_site_label
_atom_site_fract_x
_atom_site_fract_y
_atom_site_fract_z
Ta1 0.3333 0.6667 0.0738
W1 0.0000 0.0000 0.2500
W2 0.3333 0.6667 0.7500

---

# UFeAs, optimized geometry, DFT PBE-GGA
# Calculated formation energy   -205 meV/atom
# DFT total energy   -8.338 eV per atom
# Total magnetic moment   6.13 Bohr magnetons per cell
# Crystal system   tetragonal
data_UFeAs
_space_group_name_H-M_alt 'P 42/m'
_space_group_IT_number 84
_cell_length_a 7.333
_cell_length_b 7.333
_cell_length_c 4.311
_cell_angle_alpha 90.00
_cell_angle_beta 90.00
_cell_angle_gamma 90.00
loop_
_space_group_symop_operation_xyz
'x,y,z'
'-x,-y,-z'
'-y,x,z+1/2'
'y,-x,-z+1/2'
'-x,-y,z'
'x,y,-z'
'y,-x,z+1/2'
'-y,x,-z+1/2'
loop_
_atom_site_label
_atom_site_fract_x
_atom_site_fract_y
_atom_site_fract_z
U1 0.076 0.735 0.000
Fe1 0.207 0.338 0.000
As1 0.200 0.481 0.500

---

# CeCd3Hg6, optimized geometry, DFT PBE-GGA
# Calculated formation energy   -53 meV/atom
# DFT total energy   -1.102 eV per atom
# Total magnetic moment   2.48 Bohr magnetons per cell
# Crystal system   monoclinic
data_CeCd3Hg6
_space_group_name_H-M_alt 'P 1 21/c 1'
_space_group_IT_number 14
_cell_length_a 8.085
_cell_length_b 7.735
_cell_length_c 9.322
_cell_angle_alpha 90.00
_cell_angle_beta 119.45
_cell_angle_gamma 90.00
loop_
_space_group_symop_operation_xyz
'x,y,z'
'-x,-y,-z'
'-x,y+1/2,-z+1/2'
'x,-y+1/2,z+1/2'
loop_
_atom_site_label
_atom_site_fract_x
_atom_site_fract_y
_atom_site_fract_z
Ce1 0.000 0.000 0.000
Cd1 0.242 0.155 0.454
Cd2 0.500 0.000 0.000
Hg1 0.110 0.081 0.685
Hg2 0.256 0.711 0.838
Hg3 0.470 0.132 0.284

---

# V2SnSb2, optimized geometry, DFT PBE-GGA
# DFT total energy   -5.972 eV per atom
# Total magnetic moment   1.56 Bohr magnetons per cell
# Crystal system   tetragonal
# ΔE_f (raw)   0.125 eV/atom
data_V2SnSb2
_space_group_name_H-M_alt 'P 4/m b m'
_space_group_IT_number 127
_space_group_name_Hall '-P 4 2ab'
_cell_length_a 7.390
_cell_length_b 7.390
_cell_length_c 3.622
_cell_angle_alpha 90.00
_cell_angle_beta 90.00
_cell_angle_gamma 90.00
loop_
_atom_site_label
_atom_site_fract_x
_atom_site_fract_y
_atom_site_fract_z
V1 0.139 0.361 0.000
Sn1 0.000 0.000 0.000
Sb1 0.153 0.653 0.500